# 1
DFT (PBE) results for a geometry-optimized TlIrSe2 structure.

## Properties
Its space group is P4/mmm. The energy above the lowest structure with this stoichiometry is 0.874 eV per atom. As for the crystal system: tetragonal.

Lattice parameters (Å, degrees): 5.0348 5.0348 3.1525 90.00 90.00 90.00
Element x y z (fractional)
Tl1 0.0000 0.0000 0.0000
Ir1 0.5000 0.5000 0.0000
Se1 0.0000 0.5000 0.5000
Se2 0.5000 0.0000 0.5000

# 2
DFT (PBE) results for a geometry-optimized V2FeP2 structure.

## Properties
Its space group is P4/mbm. As for the crystal system: tetragonal. Its energy of formation from the pure elements is -0.590 eV per atom.

Lattice parameters (Å, degrees): 5.7167 5.7167 3.6307 90.00 90.00 90.00
Element x y z (fractional)
V1 0.1658 0.3342 0.0000
V2 0.3342 0.8342 0.0000
V3 0.6658 0.1658 0.0000
V4 0.8342 0.6658 0.0000
Fe1 0.0000 0.0000 0.5000
Fe2 0.5000 0.5000 0.5000
P1 0.1382 0.6382 0.5000
P2 0.3618 0.1382 0.5000
P3 0.6382 0.8618 0.5000
P4 0.8618 0.3618 0.5000

# 3
DFT (PBE) results for a geometry-optimized Th8AsP4Se3 structure.

## Properties
Its space group is R-3m. As for the crystal system: trigonal. The electronic total energy is -7.585 eV/atom.

Lattice parameters (Å, degrees): 8.4074 8.4074 8.4074 59.29 59.29 59.29
Element x y z (fractional)
Th1 0.2417 0.7458 0.7458
Th2 0.2436 0.2436 0.2436
Th3 0.2542 0.2542 0.7583
Th4 0.2542 0.7583 0.2542
Th5 0.7458 0.2417 0.7458
Th6 0.7458 0.7458 0.2417
Th7 0.7564 0.7564 0.7564
Th8 0.7583 0.2542 0.2542
As1 0.0000 0.0000 0.0000
P1 0.0000 0.0000 0.5000
P2 0.0000 0.5000 0.0000
P3 0.5000 0.0000 0.0000
P4 0.5000 0.5000 0.5000
Se1 0.0000 0.5000 0.5000
Se2 0.5000 0.0000 0.5000
Se3 0.5000 0.5000 0.0000

# 4
DFT (PBE) results for a geometry-optimized CsSn2H structure.

## Properties
Its space group is Fd-3m. The energy above the lowest structure with this stoichiometry is 0.000 eV per atom. As for the crystal system: cubic.

Lattice parameters (Å, degrees): 7.0554 7.0554 7.0554 60.00 60.00 60.00
Element x y z (fractional)
Cs1 0.1250 0.1250 0.1250
Cs2 0.8750 0.8750 0.8750
Sn1 0.0000 0.5000 0.5000
Sn2 0.5000 0.0000 0.5000
Sn3 0.5000 0.5000 0.0000
Sn4 0.5000 0.5000 0.5000
H1 0.3750 0.3750 0.3750
H2 0.6250 0.6250 0.6250

# 5
DFT (PBE) results for a geometry-optimized AcTbRhBr structure.

## Properties
Its space group is R3m. As for the crystal system: trigonal. The electronic total energy is -5.544 eV/atom.

Lattice parameters (Å, degrees): 8.4108 8.4108 8.4108 28.61 28.61 28.61
Element x y z (fractional)
Ac1 0.0000 0.0000 0.0000
Tb1 0.7950 0.7950 0.7950
Rh1 0.4025 0.4025 0.4025
Br1 0.2210 0.2210 0.2210

# 6
DFT (PBE) results for a geometry-optimized NdEuZnPt structure.

## Properties
Its space group is F-43m. As for the crystal system: cubic. Its energy of formation from the pure elements is -0.640 eV per atom.

Lattice parameters (Å, degrees): 5.1493 5.1493 5.1493 60.00 60.00 60.00
Element x y z (fractional)
Nd1 0.0000 0.0000 0.0000
Eu1 0.5000 0.5000 0.5000
Zn1 0.7500 0.7500 0.7500
Pt1 0.2500 0.2500 0.2500

# 7
DFT (PBE) results for a geometry-optimized Pm3RuI structure.

## Properties
Its space group is Pmmn. The energy above the lowest structure with this stoichiometry is 0.034 eV per atom. As for the crystal system: orthorhombic.

Lattice parameters (Å, degrees): 4.1981 7.2734 10.0590 90.00 90.00 90.00
Element x y z (fractional)
Pm1 0.2500 0.9996 0.1438
Pm2 0.2500 0.2500 0.6158
Pm3 0.2500 0.5004 0.1438
Pm4 0.7500 0.0004 0.8562
Pm5 0.7500 0.4996 0.8562
Pm6 0.7500 0.7500 0.3842
Ru1 0.2500 0.2500 0.9006
Ru2 0.7500 0.7500 0.0994
I1 0.2500 0.7500 0.6428
I2 0.7500 0.2500 0.3572

# 8
DFT (PBE) results for a geometry-optimized VInBr2 structure.

## Properties
Its space group is Fm-3m. The energy above the lowest structure with this stoichiometry is 0.504 eV per atom. As for the crystal system: cubic.

Lattice parameters (Å, degrees): 5.2718 5.2718 5.2718 60.00 60.00 60.00
Element x y z (fractional)
V1 0.0000 0.0000 0.0000
In1 0.5000 0.5000 0.5000
Br1 0.2500 0.2500 0.2500
Br2 0.7500 0.7500 0.7500

# 9
DFT (PBE) results for a geometry-optimized DyTh5In4 structure.

## Properties
Its space group is Pmmn. As for the crystal system: orthorhombic. Its energy of formation from the pure elements is -0.055 eV per atom.

Lattice parameters (Å, degrees): 10.5620 12.1424 4.9139 90.00 90.00 90.00
Element x y z (fractional)
Dy1 0.2500 0.2500 0.2493
Dy2 0.7500 0.7500 0.7507
Th1 0.0680 0.0854 0.7496
Th2 0.0680 0.4146 0.7496
Th3 0.2500 0.7500 0.2506
Th4 0.4320 0.0854 0.7496
Th5 0.4320 0.4146 0.7496
Th6 0.5680 0.5854 0.2504
Th7 0.5680 0.9146 0.2504
Th8 0.7500 0.2500 0.7494
Th9 0.9320 0.5854 0.2504
Th10 0.9320 0.9146 0.2504
In1 0.0471 0.7500 0.7505
In2 0.2500 0.0022 0.2496
In3 0.2500 0.4978 0.2496
In4 0.4529 0.7500 0.7505
In5 0.5471 0.2500 0.2495
In6 0.7500 0.5022 0.7504
In7 0.7500 0.9978 0.7504
In8 0.9529 0.2500 0.2495

# 10
DFT (PBE) results for a geometry-optimized Al2FeTcAg structure.

## Properties
Its space group is P4/mmm. As for the crystal system: tetragonal. Its energy of formation from the pure elements is 0.504 eV per atom.

Lattice parameters (Å, degrees): 4.4570 4.4570 4.3587 90.00 90.00 90.00
Element x y z (fractional)
Al1 0.0000 0.5000 0.0000
Al2 0.5000 0.0000 0.0000
Fe1 0.0000 0.0000 0.0000
Tc1 0.0000 0.0000 0.5000
Ag1 0.5000 0.5000 0.5000

# 11
DFT (PBE) results for a geometry-optimized BaPt2Se structure.

## Properties
Its space group is I4_1/amd. As for the crystal system: tetragonal. The electronic total energy is -5.090 eV/atom.

Lattice parameters (Å, degrees): 8.9017 8.9017 8.9017 144.92 144.92 50.45
Element x y z (fractional)
Ba1 0.3750 0.6250 0.7500
Ba2 0.6250 0.3750 0.2500
Pt1 0.0000 0.0000 0.0000
Pt2 0.0000 0.0000 0.5000
Pt3 0.0000 0.5000 0.0000
Pt4 0.5000 0.0000 0.5000
Se1 0.1250 0.8750 0.2500
Se2 0.8750 0.1250 0.7500

# 12
DFT (PBE) results for a geometry-optimized LiAg2HIr structure.

## Properties
Its space group is P4/mmm. As for the crystal system: tetragonal. The electronic total energy is -3.519 eV/atom.

Lattice parameters (Å, degrees): 5.2241 5.2241 3.2351 90.00 90.00 90.00
Element x y z (fractional)
Li1 0.0000 0.0000 0.0000
Ag1 0.0000 0.5000 0.5000
Ag2 0.5000 0.0000 0.5000
H1 0.5000 0.5000 0.0000
Ir1 0.5000 0.5000 0.5000